# 1
Density functional theory data (PBE) for crystalline Pr2SmCd3 at its relaxed geometry.

## Properties
DFT formation energy in meV/atom: -316
Polymorph energy (0 for the lowest one) in meV per atom: 2

Cell: 3.852 3.852 11.644 Å, 90.00 90.00 90.00°
Fractional positions:
1 Pr 0.000 0.000 0.169
2 Pr 0.000 0.000 0.831
3 Sm 0.000 0.000 0.500
4 Cd 0.500 0.500 0.000
5 Cd 0.500 0.500 0.340
6 Cd 0.500 0.500 0.660

# 2
Density functional theory data (PBE) for crystalline Zn5GaAu4 at its relaxed geometry.

## Properties
DFT formation energy in meV/atom: -143

Cell: 7.385 7.385 5.856 Å, 104.95 104.95 32.32°
Fractional positions:
1 Zn 0.000 0.000 0.000
2 Zn 0.204 0.204 0.107
3 Zn 0.398 0.398 0.677
4 Zn 0.602 0.602 0.323
5 Zn 0.796 0.796 0.893
6 Ga 0.000 0.000 0.500
7 Au 0.198 0.198 0.603
8 Au 0.402 0.402 0.152
9 Au 0.598 0.598 0.848
10 Au 0.802 0.802 0.397

# 3
Density functional theory data (PBE) for crystalline Ca3Os at its relaxed geometry.

## Properties
DFT formation energy in meV/atom: 530

Cell: 3.554 3.554 10.908 Å, 90.00 90.00 120.00°
Fractional positions:
1 Ca 0.000 0.000 0.000
2 Ca 0.333 0.667 0.315
3 Ca 0.333 0.667 0.685
4 Os 0.000 0.000 0.500

# 4
Density functional theory data (PBE) for crystalline Ni2AgRh at its relaxed geometry.

## Properties
DFT formation energy in meV/atom: 178

Cell: 2.720 3.584 5.598 Å, 90.00 90.00 90.00°
Fractional positions:
1 Ni 0.000 0.000 0.224
2 Ni 0.000 0.000 0.776
3 Ag 0.500 0.500 0.500
4 Rh 0.500 0.500 0.000

# 5
Density functional theory data (PBE) for crystalline BaLi2CaHg2 at its relaxed geometry.

## Properties
DFT formation energy in meV/atom: -361

Cell: 5.006 5.006 8.018 Å, 90.00 90.00 120.00°
Fractional positions:
1 Ba 0.000 0.000 0.000
2 Li 0.333 0.667 0.688
3 Li 0.667 0.333 0.312
4 Ca 0.000 0.000 0.500
5 Hg 0.333 0.667 0.302
6 Hg 0.667 0.333 0.698

# 6
Density functional theory data (PBE) for crystalline Zr3Cl at its relaxed geometry.

## Properties
Energy relative to the elements, uncorrected in meV per atom: 115
Polymorph energy (0 for the lowest one) in meV per atom: 526

Cell: 5.550 5.550 5.550 Å, 90.00 90.00 90.00°
Fractional positions:
1 Zr 0.000 0.250 0.500
2 Zr 0.000 0.750 0.500
3 Zr 0.250 0.500 0.000
4 Zr 0.500 0.000 0.250
5 Zr 0.500 0.000 0.750
6 Zr 0.750 0.500 0.000
7 Cl 0.000 0.000 0.000
8 Cl 0.500 0.500 0.500

# 7
Density functional theory data (PBE) for crystalline K3InB at its relaxed geometry.

## Properties
DFT formation energy in meV/atom: 814
Polymorph energy (0 for the lowest one) in meV per atom: 0

Cell: 6.075 6.075 6.075 Å, 90.00 90.00 90.00°
Fractional positions:
1 K 0.000 0.000 0.500
2 K 0.000 0.500 0.000
3 K 0.500 0.000 0.000
4 In 0.500 0.500 0.500
5 B 0.000 0.000 0.000

# 8
Density functional theory data (PBE) for crystalline SrScCl2 at its relaxed geometry.

## Properties
Energy relative to the elements, uncorrected in meV per atom: -1158
Polymorph energy (0 for the lowest one) in meV per atom: 216

Cell: 3.552 4.539 6.865 Å, 90.00 90.00 90.00°
Fractional positions:
1 Sr 0.000 0.000 0.000
2 Sc 0.500 0.000 0.500
3 Cl 0.000 0.500 0.500
4 Cl 0.500 0.500 0.000

# 9
Density functional theory data (PBE) for crystalline Ag2Te2Pb at its relaxed geometry.

## Properties
Energy relative to the elements, uncorrected in meV per atom: 0
Polymorph energy (0 for the lowest one) in meV per atom: 147

Cell: 8.147 8.147 3.881 Å, 90.00 90.00 90.00°
Fractional positions:
1 Ag 0.122 0.378 0.000
2 Ag 0.378 0.878 0.000
3 Ag 0.622 0.122 0.000
4 Ag 0.878 0.622 0.000
5 Te 0.181 0.681 0.500
6 Te 0.319 0.181 0.500
7 Te 0.681 0.819 0.500
8 Te 0.819 0.319 0.500
9 Pb 0.000 0.000 0.000
10 Pb 0.500 0.500 0.000

# 10
Density functional theory data (PBE) for crystalline SbO at its relaxed geometry.

## Properties
Energy relative to the elements, uncorrected in meV per atom: -858

Cell: 5.778 7.109 7.586 Å, 90.00 90.00 90.00°
Fractional positions:
1 Sb 0.026 0.129 0.197
2 Sb 0.070 0.573 0.882
3 Sb 0.430 0.427 0.382
4 Sb 0.474 0.871 0.697
5 Sb 0.526 0.371 0.803
6 Sb 0.570 0.927 0.118
7 Sb 0.930 0.073 0.618
8 Sb 0.974 0.629 0.303
9 O 0.053 0.912 0.415
10 O 0.149 0.745 0.087
11 O 0.351 0.255 0.587
12 O 0.447 0.088 0.915
13 O 0.553 0.588 0.585
14 O 0.649 0.755 0.913
15 O 0.851 0.245 0.413
16 O 0.947 0.412 0.085

# 11
Density functional theory data (PBE) for crystalline Tb15Dy4In at its relaxed geometry.

## Properties
DFT formation energy in meV/atom: -36

Cell: 4.979 4.979 25.187 Å, 90.00 90.00 90.00°
Fractional positions:
1 Tb 0.000 0.000 0.000
2 Tb 0.000 0.000 0.196
3 Tb 0.000 0.000 0.399
4 Tb 0.000 0.000 0.601
5 Tb 0.000 0.000 0.804
6 Tb 0.000 0.500 0.097
7 Tb 0.000 0.500 0.298
8 Tb 0.000 0.500 0.500
9 Tb 0.000 0.500 0.702
10 Tb 0.000 0.500 0.903
11 Tb 0.500 0.000 0.097
12 Tb 0.500 0.000 0.298
13 Tb 0.500 0.000 0.500
14 Tb 0.500 0.000 0.702
15 Tb 0.500 0.000 0.903
16 Dy 0.500 0.500 0.198
17 Dy 0.500 0.500 0.399
18 Dy 0.500 0.500 0.601
19 Dy 0.500 0.500 0.802
20 In 0.500 0.500 0.000

# 12
Density functional theory data (PBE) for crystalline Y2InPb at its relaxed geometry.

## Properties
DFT formation energy in meV/atom: -208

Cell: 8.362 8.362 6.904 Å, 90.00 90.00 90.00°
Fractional positions:
1 Y 0.249 0.250 0.125
2 Y 0.250 0.749 0.375
3 Y 0.250 0.751 0.875
4 Y 0.251 0.250 0.625
5 Y 0.749 0.750 0.625
6 Y 0.750 0.249 0.875
7 Y 0.750 0.251 0.375
8 Y 0.751 0.750 0.125
9 In 0.000 0.000 0.500
10 In 0.000 0.500 0.750
11 In 0.500 0.000 0.250
12 In 0.500 0.500 0.000
13 Pb 0.000 0.000 0.000
14 Pb 0.000 0.500 0.250
15 Pb 0.500 0.000 0.750
16 Pb 0.500 0.500 0.500

# 13
Density functional theory data (PBE) for crystalline LaNd8Dy4 at its relaxed geometry.

## Properties
DFT formation energy in meV/atom: 256

Cell: 8.846 8.846 6.597 Å, 108.98 108.98 84.97°
Fractional positions:
1 La 0.000 0.000 0.000
2 Nd 0.175 0.660 0.668
3 Nd 0.240 0.240 0.356
4 Nd 0.340 0.825 0.332
5 Nd 0.350 0.350 0.925
6 Nd 0.650 0.650 0.075
7 Nd 0.660 0.175 0.668
8 Nd 0.760 0.760 0.644
9 Nd 0.825 0.340 0.332
10 Dy 0.000 0.000 0.500
11 Dy 0.000 0.500 0.000
12 Dy 0.500 0.000 0.000
13 Dy 0.500 0.500 0.500

# 14
Density functional theory data (PBE) for crystalline TmHg2Pd5 at its relaxed geometry.

## Properties
DFT formation energy in meV/atom: -405
Polymorph energy (0 for the lowest one) in meV per atom: 105

Cell: 7.584 7.584 7.584 Å, 122.88 122.88 85.08°
Fractional positions:
1 Tm 0.250 0.250 0.000
2 Tm 0.750 0.750 0.000
3 Hg 0.153 0.653 0.807
4 Hg 0.347 0.153 0.500
5 Hg 0.653 0.847 0.500
6 Hg 0.847 0.347 0.193
7 Pd 0.000 0.000 0.000
8 Pd 0.024 0.813 0.500
9 Pd 0.187 0.687 0.212
10 Pd 0.313 0.524 0.500
11 Pd 0.476 0.976 0.788
12 Pd 0.500 0.500 0.000
13 Pd 0.524 0.024 0.212
14 Pd 0.687 0.476 0.500
15 Pd 0.813 0.313 0.788
16 Pd 0.976 0.187 0.500

# 15
Density functional theory data (PBE) for crystalline NdDy6Ho5 at its relaxed geometry.

## Properties
DFT formation energy in meV/atom: 17

Cell: 6.136 6.136 11.752 Å, 94.97 94.97 119.96°
Fractional positions:
1 Nd 0.000 0.000 0.000
2 Dy 0.083 0.417 0.252
3 Dy 0.251 0.251 0.749
4 Dy 0.417 0.083 0.252
5 Dy 0.583 0.917 0.748
6 Dy 0.749 0.749 0.251
7 Dy 0.917 0.583 0.748
8 Ho 0.167 0.833 0.500
9 Ho 0.333 0.667 0.000
10 Ho 0.500 0.500 0.500
11 Ho 0.667 0.333 0.000
12 Ho 0.833 0.167 0.500

# 16
Density functional theory data (PBE) for crystalline Tb2Ho4Er2Tm at its relaxed geometry.

## Properties
DFT formation energy in meV/atom: 4

Cell: 9.392 9.392 9.420 Å, 115.28 115.28 21.79°
Fractional positions:
1 Tb 0.148 0.148 0.166
2 Tb 0.852 0.852 0.834
3 Ho 0.185 0.185 0.833
4 Ho 0.482 0.482 0.168
5 Ho 0.518 0.518 0.832
6 Ho 0.815 0.815 0.167
7 Er 0.334 0.334 0.500
8 Er 0.666 0.666 0.500
9 Tm 0.000 0.000 0.500

# 17
Density functional theory data (PBE) for crystalline HfPb3W at its relaxed geometry.

## Properties
DFT formation energy in meV/atom: 1231
Polymorph energy (0 for the lowest one) in meV per atom: 0

Cell: 5.361 5.361 5.361 Å, 90.00 90.00 90.00°
Fractional positions:
1 Hf 0.000 0.000 0.000
2 Pb 0.000 0.500 0.500
3 Pb 0.500 0.000 0.500
4 Pb 0.500 0.500 0.000
5 W 0.500 0.500 0.500

# 18
Density functional theory data (PBE) for crystalline Sc3VC at its relaxed geometry.

## Properties
DFT formation energy in meV/atom: -30
Polymorph energy (0 for the lowest one) in meV per atom: 0

Cell: 4.548 4.548 4.548 Å, 90.00 90.00 90.00°
Fractional positions:
1 Sc 0.000 0.000 0.500
2 Sc 0.000 0.500 0.000
3 Sc 0.500 0.000 0.000
4 V 0.500 0.500 0.500
5 C 0.000 0.000 0.000

# 19
Density functional theory data (PBE) for crystalline LiHoTm2 at its relaxed geometry.

## Properties
DFT formation energy in meV/atom: 168
Polymorph energy (0 for the lowest one) in meV per atom: 94

Cell: 5.475 5.475 3.746 Å, 90.00 90.00 90.00°
Fractional positions:
1 Li 0.000 0.000 0.000
2 Ho 0.500 0.500 0.000
3 Tm 0.000 0.500 0.500
4 Tm 0.500 0.000 0.500

# 20
Density functional theory data (PBE) for crystalline MnInNiPd at its relaxed geometry.

## Properties
DFT formation energy in meV/atom: -196

Cell: 6.259 6.259 6.259 Å, 90.00 90.00 90.00°
Fractional positions:
1 Mn 0.000 0.000 0.000
2 Mn 0.000 0.500 0.500
3 Mn 0.500 0.000 0.500
4 Mn 0.500 0.500 0.000
5 In 0.000 0.000 0.500
6 In 0.000 0.500 0.000
7 In 0.500 0.000 0.000
8 In 0.500 0.500 0.500
9 Ni 0.250 0.250 0.250
10 Ni 0.250 0.750 0.750
11 Ni 0.750 0.250 0.750
12 Ni 0.750 0.750 0.250
13 Pd 0.250 0.250 0.750
14 Pd 0.250 0.750 0.250
15 Pd 0.750 0.250 0.250
16 Pd 0.750 0.750 0.750